Density functional theory data (GGA-PBE) for an optimized crystal structure of BaTbZn2Au5.

The formation energy is -441.9 meV/atom. The value obtained for the spin magnetization is 0.00 μB per formula unit. As for the raw total energy: -3.27 eV/atom. Its theoretical density is 11.167 g cm⁻³.

The space group is P4/mmm (No. 123) and the conventional cell measures 5.081, 5.081 and 8.134 Å, with angles of 90.00, 90.00 and 90.00 degrees. Symmetry generates all atoms from Ba at (0.000, 0.000, 0.000), Tb at (0.000, 0.000, 0.500), Zn at (0.500, 0.500, 0.329), Au at (0.000, 0.500, 0.296) and Au at (0.500, 0.500, 0.000).



Density functional theory data (GGA-PBE) for an optimized crystal structure of TeAu2I6.

The value obtained for the spin magnetization is 0.00 μB per formula unit. As for the raw total energy: -2.18 eV/atom. Its theoretical density is 4.554 g cm⁻³.

The space group is C2/c (No. 15) and the conventional cell measures 15.570, 16.225 and 7.491 Å, with angles of 90.00, 98.59 and 90.00 degrees. Symmetry generates all atoms from Te at (0.000, 0.080, 0.250), Au at (0.100, 0.499, 0.288), I at (0.111, 0.389, 0.543), I at (0.112, 0.197, 0.133) and I at (0.114, 0.064, 0.607).



- Which value of raw total energy does entry 2 give?
  -2.18 eV/atom